Entry from the Open Quantum Materials Database: an optimized crystal structure of Nd2Pb (PBE).

Unit cell a=13.839 b=13.839 c=13.839 alpha=90.00 beta=90.00 gamma=90.00
Space group Fd-3m (No. 227, origin choice 2)
Symmetry-distinct sites (fractional):
Nd: 0.000 0.000 0.000 x16
Pb: 0.125 0.125 0.125 x8

Values from the calculation:
**Uncorrected energy**: -0.11435 Ha/atom